[1]
# Pm3CBr7 PBE-GGA relaxed
# volume = 434 Å³/f.u.
# ΔE_f (raw) = -1.29 eV per atom
# density of states at the Fermi level = 0.6297 states/eV per atom
data_Pm3CBr7
_chemical_formula_sum 'Pm3 C1 Br7'
_space_group_name_H-M_alt 'P 1'
_space_group_IT_number 1
_space_group_name_Hall 'P 1'
_cell_length_a 7.058
_cell_length_b 8.422
_cell_length_c 8.422
_cell_angle_alpha 120.00
_cell_angle_beta 90.00
_cell_angle_gamma 90.00
loop_
_atom_site_label
_atom_site_fract_x
_atom_site_fract_y
_atom_site_fract_z
_atom_site_occupancy
Br1 0.546 0.827 0.173 1
Br2 0.008 0.661 0.831 1
Br3 0.546 0.827 0.655 1
C1 0.650 0.333 0.667 1
Pm1 0.766 0.017 0.509 1
Br4 0.008 0.169 0.339 1
Pm2 0.766 0.491 0.983 1
Br5 0.546 0.345 0.173 1
Br6 0.006 0.667 0.333 1
Br7 0.008 0.169 0.831 1
Pm3 0.766 0.491 0.509 1



[2]
# Pm4C2Br3 PBE-GGA relaxed
# volume = 232 Å³/f.u.
# ΔE_f (raw) = -0.95 eV per atom
# density of states at the Fermi level = 0.1603 states/eV per atom
data_Pm4C2Br3
_chemical_formula_sum 'Pm4 C2 Br3'
_space_group_name_H-M_alt 'P 1'
_space_group_IT_number 1
_space_group_name_Hall 'P 1'
_cell_length_a 3.637
_cell_length_b 7.622
_cell_length_c 8.817
_cell_angle_alpha 102.04
_cell_angle_beta 90.00
_cell_angle_gamma 103.80
loop_
_atom_site_label
_atom_site_fract_x
_atom_site_fract_y
_atom_site_fract_z
_atom_site_occupancy
Pm1 0.317 0.634 0.897 1
Pm2 0.904 0.809 0.293 1
C1 0.695 0.390 0.833 1
Br1 0.409 0.818 0.600 1
Br2 0.591 0.182 0.400 1
Pm3 0.096 0.191 0.707 1
Br3 0.000 0.000 0.000 1
Pm4 0.683 0.366 0.103 1
C2 0.305 0.610 0.167 1



[3]
# Pm2CBr2 PBE-GGA relaxed
# volume = 139 Å³/f.u.
# ΔE_f (raw) = -1.12 eV per atom
# offset from the most stable computed form = 69 meV/atom
data_Pm2CBr2
_chemical_formula_sum 'Pm2 C1 Br2'
_space_group_name_H-M_alt 'P 1'
_space_group_IT_number 1
_space_group_name_Hall 'P 1'
_cell_length_a 3.825
_cell_length_b 3.825
_cell_length_c 11.226
_cell_angle_alpha 80.19
_cell_angle_beta 80.19
_cell_angle_gamma 60.00
loop_
_atom_site_label
_atom_site_fract_x
_atom_site_fract_y
_atom_site_fract_z
_atom_site_occupancy
Pm1 0.623 0.623 0.130 1
C1 0.000 0.000 0.000 1
Br1 0.105 0.105 0.684 1
Br2 0.895 0.895 0.316 1
Pm2 0.377 0.377 0.870 1



[4]
# Pm6CBr12 PBE-GGA relaxed
# volume = 566 Å³/f.u.
# ΔE_f (raw) = -1.41 eV per atom
# density of states at the Fermi level = 0.3412 states/eV per atom
data_Pm6CBr12
_chemical_formula_sum 'Pm6 C1 Br12'
_space_group_name_H-M_alt 'P 1'
_space_group_IT_number 1
_space_group_name_Hall 'P 1'
_cell_length_a 8.564
_cell_length_b 8.564
_cell_length_c 8.564
_cell_angle_alpha 73.92
_cell_angle_beta 73.92
_cell_angle_gamma 73.92
loop_
_atom_site_label
_atom_site_fract_x
_atom_site_fract_y
_atom_site_fract_z
_atom_site_occupancy
Br1 0.883 0.883 0.435 1
C1 0.000 0.000 0.000 1
Br2 0.117 0.117 0.565 1
Pm1 0.787 0.787 0.180 1
Br3 0.442 0.442 0.826 1
Pm2 0.820 0.213 0.213 1
Pm3 0.213 0.820 0.213 1
Br4 0.826 0.442 0.442 1
Pm4 0.787 0.180 0.787 1
Br5 0.565 0.117 0.117 1
Br6 0.883 0.435 0.883 1
Pm5 0.213 0.213 0.820 1
Br7 0.558 0.558 0.174 1
Br8 0.174 0.558 0.558 1
Br9 0.442 0.826 0.442 1
Pm6 0.180 0.787 0.787 1
Br10 0.558 0.174 0.558 1
Br11 0.435 0.883 0.883 1
Br12 0.117 0.565 0.117 1



[5]
# Pm4CBr2 PBE-GGA relaxed
# volume = 195 Å³/f.u.
# ΔE_f (raw) = -0.49 eV per atom
# density of states at the Fermi level = 0.7680 states/eV per atom
data_Pm4CBr2
_chemical_formula_sum 'Pm4 C1 Br2'
_space_group_name_H-M_alt 'P 1'
_space_group_IT_number 1
_space_group_name_Hall 'P 1'
_cell_length_a 5.236
_cell_length_b 5.236
_cell_length_c 8.025
_cell_angle_alpha 70.96
_cell_angle_beta 70.96
_cell_angle_gamma 90.00
loop_
_atom_site_label
_atom_site_fract_x
_atom_site_fract_y
_atom_site_fract_z
_atom_site_occupancy
Br1 0.387 0.387 0.226 1
Pm1 0.825 0.825 0.350 1
Pm2 0.500 0.000 0.000 1
Pm3 0.000 0.500 0.000 1
C1 0.000 0.000 0.000 1
Pm4 0.175 0.175 0.650 1
Br2 0.613 0.613 0.774 1



[6]
# Pm8C6Br PBE-GGA relaxed
# volume = 323 Å³/f.u.
# ΔE_f (raw) = -0.21 eV per atom
# density of states at the Fermi level = 0.9841 states/eV per atom
data_Pm8C6Br
_chemical_formula_sum 'Pm8 C6 Br1'
_space_group_name_H-M_alt 'P 1'
_space_group_IT_number 1
_space_group_name_Hall 'P 1'
_cell_length_a 3.805
_cell_length_b 9.894
_cell_length_c 9.894
_cell_angle_alpha 120.00
_cell_angle_beta 90.00
_cell_angle_gamma 90.00
loop_
_atom_site_label
_atom_site_fract_x
_atom_site_fract_y
_atom_site_fract_z
_atom_site_occupancy
C1 0.242 0.869 0.529 1
C2 0.758 0.131 0.471 1
Pm1 0.744 0.039 0.673 1
Pm2 0.256 0.961 0.327 1
Pm3 0.744 0.327 0.366 1
Pm4 0.235 0.333 0.667 1
C3 0.242 0.661 0.131 1
C4 0.758 0.529 0.661 1
Pm5 0.765 0.667 0.333 1
C5 0.758 0.339 0.869 1
Pm6 0.256 0.673 0.634 1
Br1 0.500 0.000 0.000 1
Pm7 0.744 0.634 0.961 1
C6 0.242 0.471 0.339 1
Pm8 0.256 0.366 0.039 1